# 1
Density functional theory data (PBE) for an optimized crystal structure of Ce2SmRh. Values from VASP.

Quantum ESPRESSO input file:
```
&SYSTEM
  ibrav = 0, nat = 4, ntyp = 3
/
ATOMIC_SPECIES
Ce 140.12 Ce.upf
Sm 150.36 Sm.upf
Rh 102.91 Rh.upf
ATOMIC_POSITIONS crystal
Ce 0.000 0.000 0.810
Sm 0.500 0.500 0.500
Ce 0.000 0.000 0.190
Rh 0.500 0.500 0.000
CELL_PARAMETERS angstrom
-2.219 2.828 -0.745
-0.234 -1.104 -3.493
-6.137 -4.346 1.784
```

Values from the calculation:
Symmetry: P4/mmm (123)
Formation energy from the elements, eV/atom: -0.272
Fermi-level density of states, states/eV per atom: 2.392

# 2
Density functional theory data (PBE) for an optimized crystal structure of CeSmZnRh. Values from VASP.

Quantum ESPRESSO input file:
```
&SYSTEM
  ibrav = 0, nat = 4, ntyp = 4
/
ATOMIC_SPECIES
Sm 150.36 Sm.upf
Ce 140.12 Ce.upf
Rh 102.91 Rh.upf
Zn 65.41 Zn.upf
ATOMIC_POSITIONS crystal
Sm 0.250 0.250 0.250
Ce 0.750 0.750 0.750
Rh 0.500 0.500 0.500
Zn 0.000 0.000 0.000
CELL_PARAMETERS angstrom
-4.490 1.687 -1.538
-4.199 -2.444 1.329
-3.180 2.073 3.311
```

Values from the calculation:
Symmetry: F-43m (216)
Formation energy from the elements, eV/atom: -0.445
Fermi-level density of states, states/eV per atom: 1.674

# 3
Density functional theory data (PBE) for an optimized crystal structure of CeSn3Rh4. Values from VASP.

Quantum ESPRESSO input file:
```
&SYSTEM
  ibrav = 0, nat = 8, ntyp = 3
/
ATOMIC_SPECIES
Sn 118.71 Sn.upf
Rh 102.91 Rh.upf
Ce 140.12 Ce.upf
ATOMIC_POSITIONS crystal
Sn 0.500 0.500 0.500
Sn 0.249 0.249 0.252
Rh 0.866 0.866 0.401
Rh 0.134 0.134 0.599
Rh 0.602 0.602 0.195
Rh 0.398 0.398 0.805
Ce 0.000 0.000 0.000
Sn 0.751 0.751 0.748
CELL_PARAMETERS angstrom
-1.326 -3.327 -2.742
3.049 -2.275 -2.424
1.470 -7.538 4.725
```

Values from the calculation:
Symmetry: R-3m (166)
Formation energy from the elements, eV/atom: -0.556
Fermi-level density of states, states/eV per atom: 0.831

# 4
Density functional theory data (PBE) for an optimized crystal structure of Ce3SnRh. Values from VASP.

Quantum ESPRESSO input file:
```
&SYSTEM
  ibrav = 0, nat = 10, ntyp = 3
/
ATOMIC_SPECIES
Sn 118.71 Sn.upf
Ce 140.12 Ce.upf
Rh 102.91 Rh.upf
ATOMIC_POSITIONS crystal
Sn 0.250 0.281 0.171
Ce 0.750 0.279 0.914
Sn 0.750 0.719 0.829
Ce 0.750 0.600 0.423
Rh 0.250 0.864 0.419
Ce 0.250 0.721 0.086
Rh 0.750 0.136 0.581
Ce 0.250 0.999 0.757
Ce 0.750 0.001 0.243
Ce 0.250 0.400 0.577
CELL_PARAMETERS angstrom
-1.071 -4.362 1.726
-0.758 -2.254 -6.165
8.109 -0.907 2.741
```

Values from the calculation:
Symmetry: P2_1/m (11)
Formation energy from the elements, eV/atom: -0.536
Fermi-level density of states, states/eV per atom: 2.736

# 5
Density functional theory data (PBE) for an optimized crystal structure of Ce2Sn8Rh. Values from VASP.

Quantum ESPRESSO input file:
```
&SYSTEM
  ibrav = 0, nat = 11, ntyp = 3
/
ATOMIC_SPECIES
Sn 118.71 Sn.upf
Rh 102.91 Rh.upf
Ce 140.12 Ce.upf
ATOMIC_POSITIONS crystal
Sn 0.500 0.000 0.500
Sn 0.500 0.500 0.691
Rh 0.000 0.000 0.000
Ce 0.000 0.000 0.687
Sn 0.000 0.500 0.877
Sn 0.000 0.500 0.123
Sn 0.500 0.000 0.877
Ce 0.000 0.000 0.313
Sn 0.500 0.000 0.123
Sn 0.000 0.500 0.500
Sn 0.500 0.500 0.309
CELL_PARAMETERS angstrom
4.727 0.000 0.000
0.000 4.727 0.000
0.000 0.000 12.332
```

Values from the calculation:
Symmetry: P4/mmm (123)
Formation energy from the elements, eV/atom: -0.476
Fermi-level density of states, states/eV per atom: 0.874

# 6
Density functional theory data (PBE) for an optimized crystal structure of Ce7Sn2Rh2. Values from VASP.

Quantum ESPRESSO input file:
```
&SYSTEM
  ibrav = 0, nat = 11, ntyp = 3
/
ATOMIC_SPECIES
Sn 118.71 Sn.upf
Ce 140.12 Ce.upf
Rh 102.91 Rh.upf
ATOMIC_POSITIONS crystal
Sn 0.821 0.500 0.821
Ce 0.000 0.000 0.000
Ce 0.000 0.720 0.500
Ce 0.500 0.209 0.500
Ce 0.000 0.280 0.500
Rh 0.735 0.000 0.265
Rh 0.265 0.000 0.735
Sn 0.179 0.500 0.179
Ce 0.500 0.791 0.500
Ce 0.500 0.720 0.000
Ce 0.500 0.280 0.000
CELL_PARAMETERS angstrom
-6.659 2.198 0.312
-2.114 -6.291 -0.933
2.230 -1.710 6.433
```

Values from the calculation:
Symmetry: C2/m (12)
Formation energy from the elements, eV/atom: -0.369
Fermi-level density of states, states/eV per atom: 3.095

Question: Look up the Fermi-level density of states of the fifth one.
Answer: 0.874 states/eV per atom

Question: Which formula does entry 6 have?
Answer: Ce7Sn2Rh2

Question: formation energy from the elements of number 2 (CeSmZnRh)?
Answer: -0.445 eV/atom